# PBE PrSi2W, optimized geometry
# E_form (uncorrected) = -0.230 eV/atom
# Uncorrected energy = -7.375 eV/atom
# Fermi-level density of states = 8.98 states/eV/cell
# M_tot = 0.0 Bohr magnetons per cell
data_PrSi2W
_space_group_name_H-M_alt 'R -3 m'
_space_group_IT_number 166
_space_group_name_Hall '-R 3 2"'
_cell_length_a 4.2390
_cell_length_b 4.2390
_cell_length_c 15.5178
_cell_angle_alpha 90.00
_cell_angle_beta 90.00
_cell_angle_gamma 120.00
loop_
_atom_site_label
_atom_site_fract_x
_atom_site_fract_y
_atom_site_fract_z
Pr1 0.0000 0.0000 0.0000
Si1 0.0000 0.0000 0.2122
W1 0.0000 0.0000 0.5000

=====

# PBE KCdPb2, optimized geometry
# ΔE_f = -0.032 eV/atom
# Uncorrected energy = -2.389 eV/atom
# Fermi-level density of states = 2.62 states/eV/cell
# M_tot = 0.0 Bohr magnetons per cell
data_KCdPb2
_space_group_name_H-M_alt 'P 1 m 1'
_space_group_IT_number 6
_cell_length_a 3.6442
_cell_length_b 5.3046
_cell_length_c 6.9873
_cell_angle_alpha 90.00
_cell_angle_beta 104.41
_cell_angle_gamma 90.00
loop_
_space_group_symop_operation_xyz
'x,y,z'
'x,-y,z'
loop_
_atom_site_label
_atom_site_fract_x
_atom_site_fract_y
_atom_site_fract_z
K1 0.0000 0.0000 0.0000
Cd1 0.3896 0.5000 0.7678
Pb1 0.2703 0.0000 0.5175
Pb2 0.6672 0.5000 0.3213

=====

# PBE Mg2Be2Pd5Au, optimized geometry
# ΔE_f = -0.537 eV/atom
# Uncorrected energy = -4.526 eV/atom
# Fermi-level density of states = 5.20 states/eV/cell
# M_tot = 0.0 Bohr magnetons per cell
data_Mg2Be2Pd5Au
_space_group_name_H-M_alt 'P 4/m b m'
_space_group_IT_number 127
_space_group_name_Hall '-P 4 2ab'
_cell_length_a 9.5721
_cell_length_b 9.5721
_cell_length_c 3.2783
_cell_angle_alpha 90.00
_cell_angle_beta 90.00
_cell_angle_gamma 90.00
loop_
_atom_site_label
_atom_site_fract_x
_atom_site_fract_y
_atom_site_fract_z
Mg1 0.1755 0.3245 0.0000
Be1 0.1243 0.6243 0.0000
Pd1 0.0000 0.5000 0.5000
Pd2 0.0727 0.7820 0.5000
Au1 0.0000 0.0000 0.0000

=====

# PBE Cs3TbPa2O9, optimized geometry
# E_form (uncorrected) = -2.686 eV/atom
# Uncorrected energy = -7.407 eV/atom
# Fermi-level density of states = 13.47 states/eV/cell
# M_tot = 2.1 Bohr magnetons per cell
data_Cs3TbPa2O9
_space_group_name_H-M_alt 'P -3 m 1'
_space_group_IT_number 164
_space_group_name_Hall '-P 3 2"'
_cell_length_a 6.3549
_cell_length_b 6.3549
_cell_length_c 7.7565
_cell_angle_alpha 90.00
_cell_angle_beta 90.00
_cell_angle_gamma 120.00
loop_
_atom_site_label
_atom_site_fract_x
_atom_site_fract_y
_atom_site_fract_z
Cs1 0.0000 0.0000 0.0000
Cs2 0.3333 0.6667 0.6642
Tb1 0.0000 0.0000 0.5000
Pa1 0.3333 0.6667 0.1684
O1 0.0000 0.5000 0.0000
O2 0.1735 0.3470 0.3260

=====

# PBE Ti2V2Ge, optimized geometry
# ΔE_f = -0.067 eV/atom
# Uncorrected energy = -7.796 eV/atom
# Fermi-level density of states = 9.51 states/eV/cell
# M_tot = 0.0 Bohr magnetons per cell
data_Ti2V2Ge
_space_group_name_H-M_alt 'P 4/m b m'
_space_group_IT_number 127
_space_group_name_Hall '-P 4 2ab'
_cell_length_a 6.5380
_cell_length_b 6.5380
_cell_length_c 3.6270
_cell_angle_alpha 90.00
_cell_angle_beta 90.00
_cell_angle_gamma 90.00
loop_
_atom_site_label
_atom_site_fract_x
_atom_site_fract_y
_atom_site_fract_z
Ti1 0.1728 0.3272 0.0000
V1 0.1293 0.6293 0.5000
Ge1 0.0000 0.0000 0.5000

=====

# PBE LiHo2ScHg4, optimized geometry
# ΔE_f = -0.449 eV/atom
# Uncorrected energy = -2.775 eV/atom
# Fermi-level density of states = 17.41 states/eV/cell
# M_tot = 0.0 Bohr magnetons per cell
data_LiHo2ScHg4
_space_group_name_H-M_alt 'R -3 m'
_space_group_IT_number 166
_space_group_name_Hall '-R 3 2"'
_cell_length_a 5.0643
_cell_length_b 5.0643
_cell_length_c 24.9388
_cell_angle_alpha 90.00
_cell_angle_beta 90.00
_cell_angle_gamma 120.00
loop_
_atom_site_label
_atom_site_fract_x
_atom_site_fract_y
_atom_site_fract_z
Li1 0.0000 0.0000 0.0000
Ho1 0.0000 0.0000 0.2527
Sc1 0.0000 0.0000 0.5000
Hg1 0.0000 0.0000 0.1258
Hg2 0.0000 0.0000 0.3753

=====

# PBE ZrIr2Ru, optimized geometry
# ΔE_f = 0.050 eV/atom
# Uncorrected energy = -8.836 eV/atom
# Relative energy among the computed polymorphs = 581 meV per atom
# Fermi-level density of states = 12.45 states/eV/cell
# M_tot = 0.0 Bohr magnetons per cell
data_ZrIr2Ru
_space_group_name_H-M_alt 'R 3 m'
_space_group_IT_number 160
_space_group_name_Hall 'R 3 -2"'
_cell_length_a 2.8079
_cell_length_b 2.8079
_cell_length_c 28.0208
_cell_angle_alpha 90.00
_cell_angle_beta 90.00
_cell_angle_gamma 120.00
loop_
_atom_site_label
_atom_site_fract_x
_atom_site_fract_y
_atom_site_fract_z
Zr1 0.0000 0.0000 0.0000
Ir1 0.0000 0.0000 0.2462
Ir2 0.0000 0.0000 0.4993
Ru1 0.0000 0.0000 0.7569

=====

# PBE PrVBi, optimized geometry
# ΔE_f = -0.133 eV/atom
# Uncorrected energy = -6.060 eV/atom
# Fermi-level density of states = 10.00 states/eV/cell
# M_tot = 0.0 Bohr magnetons per cell
data_PrVBi
_space_group_name_H-M_alt 'C 1 2/m 1'
_space_group_IT_number 12
_cell_length_a 10.6713
_cell_length_b 4.9490
_cell_length_c 6.6470
_cell_angle_alpha 90.00
_cell_angle_beta 97.11
_cell_angle_gamma 90.00
loop_
_space_group_symop_operation_xyz
'x,y,z'
'-x,-y,-z'
'-x,y,-z'
'x,-y,z'
'x+1/2,y+1/2,z'
'-x+1/2,-y+1/2,-z'
'-x+1/2,y+1/2,-z'
'x+1/2,-y+1/2,z'
loop_
_atom_site_label
_atom_site_fract_x
_atom_site_fract_y
_atom_site_fract_z
Pr1 0.1278 0.0000 0.2625
V1 0.0759 0.5000 0.9389
Bi1 0.1722 0.0000 0.7697